Ga3CuNi5: optimized geometry, PBE.

a b c (Å): 5.0419 7.0538 7.0538
angles (deg): 120.00 90.00 90.00
Fractional coordinates of all 18 atoms:
Ga: 0.2500 0.6477 0.6477
Ga: 0.2500 0.3523 0.0000
Ga: 0.7500 0.3523 0.3523
Ga: 0.2500 0.0000 0.3523
Ga: 0.7500 0.6477 0.0000
Ga: 0.7500 0.0000 0.6477
Ni: 0.0000 0.6667 0.3333
Ni: 0.2500 0.3160 0.3160
Ni: 0.7500 0.6840 0.6840
Ni: 0.5000 0.6667 0.3333
Ni: 0.7500 0.0000 0.3160
Ni: 0.0000 0.3333 0.6667
Ni: 0.2500 0.0000 0.6840
Ni: 0.7500 0.3160 0.0000
Ni: 0.5000 0.3333 0.6667
Ni: 0.2500 0.6840 0.0000
Cu: 0.5000 0.0000 0.0000
Cu: 0.0000 0.0000 0.0000

Summary:
**E above lowest polymorph**: 0 meV/atom
**DOS at the Fermi energy**: 9.53 states/eV per cell
**DFT formation energy**: -301 meV/atom
**Space-group type**: P6_3/mcm (193)
**Final energy**: -4.977 eV per atom